# SrAsI, relaxed, DFT PBE-GGA
# * space-group type: P2_1/m (11)
# * density: 4355 kg/m3
# * formation energy (no corrections): -3.7 eV per formula unit
# * M_tot: 0.0 μB per formula unit
data_SrAsI
_chemical_formula_sum 'Sr2 As2 I2'
_symmetry_space_group_name_H-M 'P 1'
_symmetry_Int_Tables_number 1
_symmetry_space_group_name_Hall 'P 1'
_cell_length_a 4.288
_cell_length_b 4.110
_cell_length_c 12.622
_cell_angle_alpha 90.00
_cell_angle_beta 97.12
_cell_angle_gamma 90.00
loop_
_atom_site_label
_atom_site_fract_x
_atom_site_fract_y
_atom_site_fract_z
_atom_site_occupancy
Sr1 0.137 0.250 0.303 1
Sr2 0.863 0.750 0.697 1
As1 0.311 0.750 0.505 1
As2 0.689 0.250 0.495 1
I1 0.409 0.250 0.824 1
I2 0.591 0.750 0.176 1


# SrAs2I8, relaxed, DFT PBE-GGA
# * space-group type: C2/m (12)
# * density: 3358 kg/m3
# * formation energy (no corrections): -5.8 eV per formula unit
# * M_tot: 0.0 μB per formula unit
data_SrAs2I8
_chemical_formula_sum 'Sr1 As2 I8'
_symmetry_space_group_name_H-M 'P 1'
_symmetry_Int_Tables_number 1
_symmetry_space_group_name_Hall 'P 1'
_cell_length_a 8.856
_cell_length_b 8.856
_cell_length_c 7.993
_cell_angle_alpha 95.24
_cell_angle_beta 95.24
_cell_angle_gamma 94.25
loop_
_atom_site_label
_atom_site_fract_x
_atom_site_fract_y
_atom_site_fract_z
_atom_site_occupancy
Sr1 0.000 0.000 0.000 1
As1 0.205 0.205 0.607 1
As2 0.795 0.795 0.393 1
I1 0.051 0.716 0.239 1
I2 0.240 0.240 0.255 1
I3 0.284 0.949 0.761 1
I4 0.412 0.412 0.741 1
I5 0.588 0.588 0.259 1
I6 0.716 0.051 0.239 1
I7 0.760 0.760 0.745 1
I8 0.949 0.284 0.761 1


# SrAs2I, relaxed, DFT PBE-GGA
# * space-group type: Fm-3m (225)
# * density: 5391 kg/m3
# * excess energy over the best structure of this formula in the dataset: 1.874 eV/f.u.
# * formation energy (no corrections): 0.4 eV per formula unit
# * M_tot: 0.0 μB per formula unit
data_SrAs2I
_chemical_formula_sum 'Sr1 As2 I1'
_symmetry_space_group_name_H-M 'P 1'
_symmetry_Int_Tables_number 1
_symmetry_space_group_name_Hall 'P 1'
_cell_length_a 5.414
_cell_length_b 5.414
_cell_length_c 5.414
_cell_angle_alpha 60.00
_cell_angle_beta 60.00
_cell_angle_gamma 60.00
loop_
_atom_site_label
_atom_site_fract_x
_atom_site_fract_y
_atom_site_fract_z
_atom_site_occupancy
Sr1 0.000 0.000 0.000 1
As1 0.250 0.250 0.250 1
As2 0.750 0.750 0.750 1
I1 0.500 0.500 0.500 1


# Sr2AsI, relaxed, DFT PBE-GGA
# * space-group type: R3m (160)
# * density: 4220 kg/m3
# * formation energy (no corrections): -5.7 eV per formula unit
# * M_tot: 0.0 μB per formula unit
data_Sr2AsI
_chemical_formula_sum 'Sr2 As1 I1'
_symmetry_space_group_name_H-M 'P 1'
_symmetry_Int_Tables_number 1
_symmetry_space_group_name_Hall 'P 1'
_cell_length_a 8.594
_cell_length_b 8.594
_cell_length_c 8.594
_cell_angle_alpha 30.89
_cell_angle_beta 30.89
_cell_angle_gamma 30.89
loop_
_atom_site_label
_atom_site_fract_x
_atom_site_fract_y
_atom_site_fract_z
_atom_site_occupancy
Sr1 0.000 0.000 0.000 1
Sr2 0.203 0.203 0.203 1
As1 0.601 0.601 0.601 1
I1 0.772 0.772 0.772 1


# SrAs2I, relaxed, DFT PBE-GGA
# * space-group type: I-42d (122)
# * density: 4508 kg/m3
# * excess energy over the best structure of this formula in the dataset: 0.000 eV/f.u.
# * formation energy (no corrections): -1.4 eV per formula unit
# * M_tot: 0.0 μB per formula unit
data_SrAs2I
_chemical_formula_sum 'Sr2 As4 I2'
_symmetry_space_group_name_H-M 'P 1'
_symmetry_Int_Tables_number 1
_symmetry_space_group_name_Hall 'P 1'
_cell_length_a 14.325
_cell_length_b 14.325
_cell_length_c 14.325
_cell_angle_alpha 162.41
_cell_angle_beta 162.41
_cell_angle_gamma 24.98
loop_
_atom_site_label
_atom_site_fract_x
_atom_site_fract_y
_atom_site_fract_z
_atom_site_occupancy
Sr1 0.000 0.000 0.000 1
Sr2 0.750 0.250 0.500 1
As1 0.211 0.625 0.086 1
As2 0.375 0.461 0.586 1
As3 0.539 0.125 0.914 1
As4 0.875 0.789 0.414 1
I1 0.250 0.750 0.500 1
I2 0.500 0.500 0.000 1


# Sr4As2I5, relaxed, DFT PBE-GGA
# * space-group type: Immm (71)
# * density: 4318 kg/m3
# * excess energy over the best structure of this formula in the dataset: 0.205 eV/f.u.
# * formation energy (no corrections): -15.1 eV per formula unit
# * M_tot: 0.9 μB per formula unit
data_Sr4As2I5
_chemical_formula_sum 'Sr4 As2 I5'
_symmetry_space_group_name_H-M 'P 1'
_symmetry_Int_Tables_number 1
_symmetry_space_group_name_Hall 'P 1'
_cell_length_a 11.733
_cell_length_b 11.733
_cell_length_c 11.733
_cell_angle_alpha 157.22
_cell_angle_beta 135.56
_cell_angle_gamma 50.51
loop_
_atom_site_label
_atom_site_fract_x
_atom_site_fract_y
_atom_site_fract_z
_atom_site_occupancy
Sr1 0.201 0.201 0.000 1
Sr2 0.218 0.500 0.718 1
Sr3 0.782 0.500 0.282 1
Sr4 0.799 0.799 0.000 1
As1 0.056 0.056 0.000 1
As2 0.944 0.944 0.000 1
I1 0.096 0.331 0.765 1
I2 0.433 0.669 0.765 1
I3 0.500 0.000 0.500 1
I4 0.567 0.331 0.235 1
I5 0.904 0.669 0.235 1


# Sr6Te3As2I, relaxed, DFT PBE-GGA
# * space-group type: C2/m (12)
# * density: 4526 kg/m3
# * formation energy (no corrections): -17.5 eV per formula unit
# * M_tot: 0.0 μB per formula unit
data_Sr6Te3As2I
_chemical_formula_sum 'Sr6 Te3 As2 I1'
_symmetry_space_group_name_H-M 'P 1'
_symmetry_Int_Tables_number 1
_symmetry_space_group_name_Hall 'P 1'
_cell_length_a 10.476
_cell_length_b 10.476
_cell_length_c 9.541
_cell_angle_alpha 103.07
_cell_angle_beta 103.07
_cell_angle_gamma 25.27
loop_
_atom_site_label
_atom_site_fract_x
_atom_site_fract_y
_atom_site_fract_z
_atom_site_occupancy
Sr1 0.010 0.010 0.269 1
Sr2 0.324 0.324 0.897 1
Sr3 0.328 0.328 0.423 1
Sr4 0.672 0.672 0.577 1
Sr5 0.676 0.676 0.103 1
Sr6 0.990 0.990 0.731 1
Te1 0.159 0.159 0.836 1
Te2 0.500 0.500 0.500 1
Te3 0.841 0.841 0.164 1
As1 0.166 0.166 0.332 1
As2 0.834 0.834 0.668 1
I1 0.500 0.500 0.000 1


# SrTe2AsI, relaxed, DFT PBE-GGA
# * space-group type: P4/mmm (123)
# * density: 3845 kg/m3
# * excess energy over the best structure of this formula in the dataset: 4.425 eV/f.u.
# * formation energy (no corrections): 2.1 eV per formula unit
# * M_tot: 0.0 μB per formula unit
data_SrTe2AsI
_chemical_formula_sum 'Sr1 Te2 As1 I1'
_symmetry_space_group_name_H-M 'P 1'
_symmetry_Int_Tables_number 1
_symmetry_space_group_name_Hall 'P 1'
_cell_length_a 6.257
_cell_length_b 6.257
_cell_length_c 6.008
_cell_angle_alpha 90.00
_cell_angle_beta 90.00
_cell_angle_gamma 90.00
loop_
_atom_site_label
_atom_site_fract_x
_atom_site_fract_y
_atom_site_fract_z
_atom_site_occupancy
Sr1 0.000 0.000 0.000 1
Te1 0.000 0.500 0.000 1
Te2 0.500 0.000 0.000 1
As1 0.500 0.500 0.500 1
I1 0.000 0.000 0.500 1


# SrTe2AsI, relaxed, DFT PBE-GGA
# * space-group type: P4/mmm (123)
# * density: 5132 kg/m3
# * excess energy over the best structure of this formula in the dataset: 0.000 eV/f.u.
# * formation energy (no corrections): -2.3 eV per formula unit
# * M_tot: 0.0 μB per formula unit
data_SrTe2AsI
_chemical_formula_sum 'Sr1 Te2 As1 I1'
_symmetry_space_group_name_H-M 'P 1'
_symmetry_Int_Tables_number 1
_symmetry_space_group_name_Hall 'P 1'
_cell_length_a 5.599
_cell_length_b 5.599
_cell_length_c 5.622
_cell_angle_alpha 90.00
_cell_angle_beta 90.00
_cell_angle_gamma 90.00
loop_
_atom_site_label
_atom_site_fract_x
_atom_site_fract_y
_atom_site_fract_z
_atom_site_occupancy
Sr1 0.000 0.000 0.000 1
Te1 0.000 0.500 0.500 1
Te2 0.500 0.000 0.500 1
As1 0.500 0.500 0.500 1
I1 0.500 0.500 0.000 1


# Sr6TeAs2I3, relaxed, DFT PBE-GGA
# * space-group type: C2/m (12)
# * density: 4441 kg/m3
# * formation energy (no corrections): -17.4 eV per formula unit
# * M_tot: 0.0 μB per formula unit
data_Sr6TeAs2I3
_chemical_formula_sum 'Sr6 Te1 As2 I3'
_symmetry_space_group_name_H-M 'P 1'
_symmetry_Int_Tables_number 1
_symmetry_space_group_name_Hall 'P 1'
_cell_length_a 8.092
_cell_length_b 8.092
_cell_length_c 8.259
_cell_angle_alpha 99.41
_cell_angle_beta 99.41
_cell_angle_gamma 119.98
loop_
_atom_site_label
_atom_site_fract_x
_atom_site_fract_y
_atom_site_fract_z
_atom_site_occupancy
Sr1 0.078 0.430 0.791 1
Sr2 0.217 0.217 0.207 1
Sr3 0.430 0.078 0.791 1
Sr4 0.570 0.922 0.209 1
Sr5 0.783 0.783 0.793 1
Sr6 0.922 0.570 0.209 1
Te1 0.500 0.500 0.000 1
As1 0.167 0.833 0.000 1
As2 0.833 0.167 0.000 1
I1 0.000 0.000 0.500 1
I2 0.338 0.662 0.500 1
I3 0.662 0.338 0.500 1